# 1
# Be3AlCo

A relaxed Be3AlCo crystal (PBE, the Alexandria database).

Properties
Electronic total energy: -3.960 eV/atom
Crystal system: cubic
Magnetization: 0.00 μB/f.u.
Energy relative to the lowest polymorph listed for this composition: 0.000 eV per atom
ΔH_f (0 K): 0.445 eV/atom

abc: 3.9377 3.9377 3.9377
angles: 90.00 90.00 90.00
Space group Pm-3m (No. 221)
Unique sites:
Be (0.0000, 0.0000, 0.5000) [3 per cell]
Al (0.5000, 0.5000, 0.5000) [1 per cell]
Co (0.0000, 0.0000, 0.0000) [1 per cell]



# 2
# Pm4TmCd

A relaxed Pm4TmCd crystal (PBE, the Alexandria database).

Properties
Electronic total energy: -4.060 eV/atom
Crystal system: monoclinic
Magnetization: 0.00 μB/f.u.
Energy relative to the lowest polymorph listed for this composition: 0.098 eV per atom
ΔH_f (0 K): 0.005 eV/atom

abc: 8.8807 14.4111 6.3731
angles: 90.00 109.59 90.00
Space group C2/c (No. 15)
Unique sites:
Pm (0.0980, 0.1916, 0.0460) [8 per cell]
Pm (0.2129, 0.3819, 0.3758) [8 per cell]
Tm (0.0000, 0.4113, 0.7500) [4 per cell]
Cd (0.0000, 0.0010, 0.7500) [4 per cell]



# 3
# MgCoSi2

A relaxed MgCoSi2 crystal (PBE, the Alexandria database).

Properties
Electronic total energy: -5.138 eV/atom
Crystal system: orthorhombic
Magnetization: 0.00 μB/f.u.
Formation energy (no corrections): -0.25 eV/atom

abc: 5.0347 7.8397 16.7949
angles: 90.00 90.00 90.00
Space group Immm (No. 71)
Unique sites:
Mg (0.0000, 0.0000, 0.1434) [4 per cell]
Mg (0.0000, 0.2681, 0.4021) [8 per cell]
Co (0.0000, 0.2562, 0.0000) [4 per cell]
Co (0.2500, 0.2500, 0.2500) [8 per cell]
Si (0.0000, 0.0000, 0.3000) [4 per cell]
Si (0.0000, 0.3495, 0.1379) [8 per cell]
Si (0.0000, 0.5000, 0.2779) [4 per cell]
Si (0.2406, 0.0000, 0.5000) [4 per cell]
Si (0.2465, 0.5000, 0.5000) [4 per cell]



# 4
# BiRuN2O

A relaxed BiRuN2O crystal (PBE, the Alexandria database).

Properties
Electronic total energy: -5.188 eV/atom
Crystal system: tetragonal
Magnetization: 4.48 μB/f.u.
Formation energy (no corrections): 1.76 eV/atom

abc: 4.2909 4.2909 4.1861
angles: 90.00 90.00 90.00
Space group P4/mmm (No. 123)
Unique sites:
Bi (0.0000, 0.0000, 0.0000) [1 per cell]
Ru (0.5000, 0.5000, 0.5000) [1 per cell]
N (0.0000, 0.5000, 0.0000) [2 per cell]
O (0.0000, 0.0000, 0.5000) [1 per cell]



# 5
# Be2CdRu

A relaxed Be2CdRu crystal (PBE, the Alexandria database).

Properties
Electronic total energy: -4.378 eV/atom
Crystal system: tetragonal
Magnetization: 0.00 μB/f.u.
ΔH_f (0 K): 0.032 eV/atom

abc: 3.9954 3.9954 3.0694
angles: 90.00 90.00 90.00
Space group P4/mmm (No. 123)
Unique sites:
Be (0.0000, 0.5000, 0.0000) [2 per cell]
Cd (0.0000, 0.0000, 0.5000) [1 per cell]
Ru (0.5000, 0.5000, 0.5000) [1 per cell]



# 6
# NaCa2Zn

A relaxed NaCa2Zn crystal (PBE, the Alexandria database).

Properties
Electronic total energy: -1.602 eV/atom
Crystal system: trigonal
Magnetization: 0.00 μB/f.u.
Energy relative to the lowest polymorph listed for this composition: 0.155 eV per atom
ΔH_f (0 K): 0.047 eV/atom

abc: 3.8721 3.8721 34.1088
angles: 90.00 90.00 120.00
Space group R-3m (No. 166, hexagonal axes)
Unique sites:
Na (0.0000, 0.0000, 0.0000) [3 per cell]
Ca (0.0000, 0.0000, 0.1058) [6 per cell]
Zn (0.0000, 0.0000, 0.5000) [3 per cell]



# 7
# TbPm2Ga

A relaxed TbPm2Ga crystal (PBE, the Alexandria database).

Properties
Electronic total energy: -4.534 eV/atom
Crystal system: tetragonal
Magnetization: 0.00 μB/f.u.
Energy relative to the lowest polymorph listed for this composition: 0.016 eV per atom
ΔH_f (0 K): -0.244 eV/atom

abc: 3.5894 3.5894 9.0475
angles: 90.00 90.00 90.00
Space group P4/mmm (No. 123)
Unique sites:
Tb (0.0000, 0.0000, 0.0000) [1 per cell]
Pm (0.5000, 0.5000, 0.2887) [2 per cell]
Ga (0.0000, 0.0000, 0.5000) [1 per cell]



# 8
# AgPbC3

A relaxed AgPbC3 crystal (PBE, the Alexandria database).

Properties
Electronic total energy: -3.407 eV/atom
Crystal system: cubic
Magnetization: 0.00 μB/f.u.
Energy relative to the lowest polymorph listed for this composition: 0.461 eV per atom
ΔH_f (0 K): 3.439 eV/atom

abc: 4.4987 4.4987 4.4987
angles: 90.00 90.00 90.00
Space group Pm-3m (No. 221)
Unique sites:
Ag (0.0000, 0.0000, 0.0000) [1 per cell]
Pb (0.5000, 0.5000, 0.5000) [1 per cell]
C (0.0000, 0.5000, 0.5000) [3 per cell]



Which value of magnetization does entry 4 give?
4.48 μB/f.u.



Copy entry 7 word for word.
# TbPm2Ga

A relaxed TbPm2Ga crystal (PBE, the Alexandria database).

Properties
Electronic total energy: -4.534 eV/atom
Crystal system: tetragonal
Magnetization: 0.00 μB/f.u.
Energy relative to the lowest polymorph listed for this composition: 0.016 eV per atom
ΔH_f (0 K): -0.244 eV/atom

abc: 3.5894 3.5894 9.0475
angles: 90.00 90.00 90.00
Space group P4/mmm (No. 123)
Unique sites:
Tb (0.0000, 0.0000, 0.0000) [1 per cell]
Pm (0.5000, 0.5000, 0.2887) [2 per cell]
Ga (0.0000, 0.0000, 0.5000) [1 per cell]